# 1
# CeTm3Fe8 (PBE, relaxed)
data_CeTm3Fe8
_space_group_name_H-M_alt 'P 1'
_space_group_IT_number 1
_cell_length_a 5.105
_cell_length_b 5.105
_cell_length_c 8.817
_cell_angle_alpha 73.17
_cell_angle_beta 73.17
_cell_angle_gamma 60.00
loop_
_space_group_symop_operation_xyz
'x,y,z'
loop_
_atom_site_label
_atom_site_type_symbol
_atom_site_fract_x
_atom_site_fract_y
_atom_site_fract_z
_atom_site_occupancy
Ce1 Ce 0.874 0.874 0.377 1
Tm1 Tm 0.375 0.375 0.875 1
Tm2 Tm 0.000 0.000 0.000 1
Tm3 Tm 0.500 0.500 0.500 1
Fe1 Fe 0.939 0.438 0.185 1
Fe2 Fe 0.435 0.938 0.690 1
Fe3 Fe 0.438 0.438 0.185 1
Fe4 Fe 0.938 0.938 0.690 1
Fe5 Fe 0.187 0.187 0.438 1
Fe6 Fe 0.688 0.688 0.936 1
Fe7 Fe 0.438 0.939 0.185 1
Fe8 Fe 0.938 0.435 0.690 1
# Symmetry ... R3m (160)
# Crystal system ... trigonal

# 2
# CeTmZnFe (PBE, relaxed)
data_CeTmZnFe
_space_group_name_H-M_alt 'P 1'
_space_group_IT_number 1
_cell_length_a 4.891
_cell_length_b 4.891
_cell_length_c 4.891
_cell_angle_alpha 60.00
_cell_angle_beta 60.00
_cell_angle_gamma 60.00
loop_
_space_group_symop_operation_xyz
'x,y,z'
loop_
_atom_site_label
_atom_site_type_symbol
_atom_site_fract_x
_atom_site_fract_y
_atom_site_fract_z
_atom_site_occupancy
Zn1 Zn 0.000 0.000 0.000 1
Tm1 Tm 0.250 0.250 0.250 1
Fe1 Fe 0.500 0.500 0.500 1
Ce1 Ce 0.750 0.750 0.750 1
# Symmetry ... F-43m (216)
# Crystal system ... cubic

# 3
# CeUFe4 (PBE, relaxed)
data_CeUFe4
_space_group_name_H-M_alt 'P 1'
_space_group_IT_number 1
_cell_length_a 5.012
_cell_length_b 5.012
_cell_length_c 5.012
_cell_angle_alpha 60.00
_cell_angle_beta 60.00
_cell_angle_gamma 60.00
loop_
_space_group_symop_operation_xyz
'x,y,z'
loop_
_atom_site_label
_atom_site_type_symbol
_atom_site_fract_x
_atom_site_fract_y
_atom_site_fract_z
_atom_site_occupancy
U1 U 0.250 0.250 0.250 1
Fe1 Fe 0.625 0.625 0.126 1
Fe2 Fe 0.625 0.126 0.625 1
Fe3 Fe 0.625 0.625 0.625 1
Fe4 Fe 0.126 0.625 0.625 1
Ce1 Ce 0.000 0.000 0.000 1
# Symmetry ... F-43m (216)
# Crystal system ... cubic

# 4
# CeU2Fe9 (PBE, relaxed)
data_CeU2Fe9
_space_group_name_H-M_alt 'P 1'
_space_group_IT_number 1
_cell_length_a 4.799
_cell_length_b 4.799
_cell_length_c 8.847
_cell_angle_alpha 74.26
_cell_angle_beta 74.26
_cell_angle_gamma 60.02
loop_
_space_group_symop_operation_xyz
'x,y,z'
loop_
_atom_site_label
_atom_site_type_symbol
_atom_site_fract_x
_atom_site_fract_y
_atom_site_fract_z
_atom_site_occupancy
Ce1 Ce 0.000 0.000 0.000 1
U1 U 0.855 0.855 0.434 1
U2 U 0.145 0.145 0.566 1
Fe1 Fe 0.668 0.668 0.997 1
Fe2 Fe 0.332 0.332 0.003 1
Fe3 Fe 0.500 0.500 0.500 1
Fe4 Fe 0.419 0.419 0.246 1
Fe5 Fe 0.917 0.419 0.246 1
Fe6 Fe 0.419 0.917 0.246 1
Fe7 Fe 0.581 0.581 0.754 1
Fe8 Fe 0.581 0.083 0.754 1
Fe9 Fe 0.083 0.581 0.754 1
# Symmetry ... R-3m (166)
# Crystal system ... trigonal

# 5
# CeU2Fe (PBE, relaxed)
data_CeU2Fe
_space_group_name_H-M_alt 'P 1'
_space_group_IT_number 1
_cell_length_a 4.946
_cell_length_b 4.946
_cell_length_c 4.582
_cell_angle_alpha 57.34
_cell_angle_beta 57.34
_cell_angle_gamma 60.00
loop_
_space_group_symop_operation_xyz
'x,y,z'
loop_
_atom_site_label
_atom_site_type_symbol
_atom_site_fract_x
_atom_site_fract_y
_atom_site_fract_z
_atom_site_occupancy
U1 U 0.223 0.223 0.331 1
U2 U 0.777 0.777 0.669 1
Fe1 Fe 0.000 0.000 0.000 1
Ce1 Ce 0.500 0.500 0.500 1
# Symmetry ... R-3m (166)
# Crystal system ... trigonal

# 6
# CeU2Fe3 (PBE, relaxed)
data_CeU2Fe3
_space_group_name_H-M_alt 'P 1'
_space_group_IT_number 1
_cell_length_a 8.221
_cell_length_b 5.577
_cell_length_c 5.576
_cell_angle_alpha 120.00
_cell_angle_beta 90.00
_cell_angle_gamma 90.00
loop_
_space_group_symop_operation_xyz
'x,y,z'
loop_
_atom_site_label
_atom_site_type_symbol
_atom_site_fract_x
_atom_site_fract_y
_atom_site_fract_z
_atom_site_occupancy
Ce1 Ce 0.250 0.499 0.500 1
Ce2 Ce 0.750 0.501 0.500 1
U1 U 0.500 0.833 0.167 1
U2 U 0.000 0.833 0.167 1
U3 U 0.000 0.167 0.833 1
U4 U 0.500 0.167 0.833 1
Fe1 Fe 0.750 0.502 0.001 1
Fe2 Fe 0.750 0.001 0.500 1
Fe3 Fe 0.250 0.498 0.999 1
Fe4 Fe 0.750 0.001 0.000 1
Fe5 Fe 0.250 0.999 0.000 1
Fe6 Fe 0.250 0.999 0.500 1
# Symmetry ... Cmcm (63)
# Crystal system ... orthorhombic

# 7
# Ce3U2Fe4 (PBE, relaxed)
data_Ce3U2Fe4
_space_group_name_H-M_alt 'P 1'
_space_group_IT_number 1
_cell_length_a 3.989
_cell_length_b 5.695
_cell_length_c 8.387
_cell_angle_alpha 103.56
_cell_angle_beta 90.00
_cell_angle_gamma 110.50
loop_
_space_group_symop_operation_xyz
'x,y,z'
loop_
_atom_site_label
_atom_site_type_symbol
_atom_site_fract_x
_atom_site_fract_y
_atom_site_fract_z
_atom_site_occupancy
Ce1 Ce 0.364 0.727 0.609 1
Ce2 Ce 0.000 0.000 0.000 1
Ce3 Ce 0.636 0.273 0.391 1
U1 U 0.326 0.652 0.226 1
U2 U 0.674 0.348 0.774 1
Fe1 Fe 0.725 0.450 0.092 1
Fe2 Fe 0.076 0.152 0.655 1
Fe3 Fe 0.924 0.848 0.345 1
Fe4 Fe 0.275 0.550 0.908 1
# Symmetry ... C2/m (12)
# Crystal system ... monoclinic

# 8
# CeVFe4 (PBE, relaxed)
data_CeVFe4
_space_group_name_H-M_alt 'P 1'
_space_group_IT_number 1
_cell_length_a 4.961
_cell_length_b 4.961
_cell_length_c 4.961
_cell_angle_alpha 60.00
_cell_angle_beta 60.00
_cell_angle_gamma 60.00
loop_
_space_group_symop_operation_xyz
'x,y,z'
loop_
_atom_site_label
_atom_site_type_symbol
_atom_site_fract_x
_atom_site_fract_y
_atom_site_fract_z
_atom_site_occupancy
Fe1 Fe 0.624 0.624 0.127 1
Fe2 Fe 0.624 0.127 0.624 1
Fe3 Fe 0.624 0.624 0.624 1
Fe4 Fe 0.127 0.624 0.624 1
Ce1 Ce 0.000 0.000 0.000 1
V1 V 0.250 0.250 0.250 1
# Symmetry ... F-43m (216)
# Crystal system ... cubic

# 9
# CeVFe (PBE, relaxed)
data_CeVFe
_space_group_name_H-M_alt 'P 1'
_space_group_IT_number 1
_cell_length_a 4.386
_cell_length_b 4.000
_cell_length_c 5.852
_cell_angle_alpha 97.94
_cell_angle_beta 90.00
_cell_angle_gamma 90.00
loop_
_space_group_symop_operation_xyz
'x,y,z'
loop_
_atom_site_label
_atom_site_type_symbol
_atom_site_fract_x
_atom_site_fract_y
_atom_site_fract_z
_atom_site_occupancy
Ce1 Ce 0.750 0.810 0.894 1
Ce2 Ce 0.250 0.190 0.106 1
Fe1 Fe 0.250 0.310 0.695 1
Fe2 Fe 0.750 0.690 0.305 1
V1 V 0.750 0.240 0.503 1
V2 V 0.250 0.760 0.497 1
# Symmetry ... P2_1/m (11)
# Crystal system ... monoclinic

# 10
# CeVFe2 (PBE, relaxed)
data_CeVFe2
_space_group_name_H-M_alt 'P 1'
_space_group_IT_number 1
_cell_length_a 2.890
_cell_length_b 2.890
_cell_length_c 6.933
_cell_angle_alpha 90.00
_cell_angle_beta 90.00
_cell_angle_gamma 90.00
loop_
_space_group_symop_operation_xyz
'x,y,z'
loop_
_atom_site_label
_atom_site_type_symbol
_atom_site_fract_x
_atom_site_fract_y
_atom_site_fract_z
_atom_site_occupancy
Fe1 Fe 0.000 0.000 0.806 1
Fe2 Fe 0.000 0.000 0.194 1
Ce1 Ce 0.500 0.500 0.500 1
V1 V 0.500 0.500 0.000 1
# Symmetry ... P4/mmm (123)
# Crystal system ... tetragonal

# 11
# Ce2VFe (PBE, relaxed)
data_Ce2VFe
_space_group_name_H-M_alt 'P 1'
_space_group_IT_number 1
_cell_length_a 2.879
_cell_length_b 2.879
_cell_length_c 10.448
_cell_angle_alpha 82.08
_cell_angle_beta 82.08
_cell_angle_gamma 60.00
loop_
_space_group_symop_operation_xyz
'x,y,z'
loop_
_atom_site_label
_atom_site_type_symbol
_atom_site_fract_x
_atom_site_fract_y
_atom_site_fract_z
_atom_site_occupancy
Fe1 Fe 0.500 0.500 0.500 1
Ce1 Ce 0.085 0.085 0.746 1
Ce2 Ce 0.915 0.915 0.254 1
V1 V 0.000 0.000 0.000 1
# Symmetry ... R-3m (166)
# Crystal system ... trigonal

# 12
# CeV2Fe (PBE, relaxed)
data_CeV2Fe
_space_group_name_H-M_alt 'P 1'
_space_group_IT_number 1
_cell_length_a 4.344
_cell_length_b 4.344
_cell_length_c 4.341
_cell_angle_alpha 59.98
_cell_angle_beta 59.98
_cell_angle_gamma 60.00
loop_
_space_group_symop_operation_xyz
'x,y,z'
loop_
_atom_site_label
_atom_site_type_symbol
_atom_site_fract_x
_atom_site_fract_y
_atom_site_fract_z
_atom_site_occupancy
Fe1 Fe 0.000 0.000 0.000 1
Ce1 Ce 0.500 0.500 0.500 1
V1 V 0.250 0.250 0.250 1
V2 V 0.750 0.750 0.750 1
# Symmetry ... Fm-3m (225)
# Crystal system ... cubic

For each record above, in turn, the calculated formation energy from the elements values are -0.13 -0.06 -0.07 -0.02 0.31 -0.01 -0.11 0.05 -0.01 -0.01 0.52 0.23 eV per atom.